Model 1:
K2TlCu: relaxed, PBE.

a = 5.4636 Å, b = 5.4775 Å, c = 9.8895 Å
α = 90.00°, β = 90.00°, γ = 90.00°
Closest atoms and distances in Å follow each position.
Space group Cmm2 (No. 35)
Symmetry-distinct sites (fractional):
K 0.0000 0.0000 0.0000 (multiplicity 2)  1 Tl 3.41, 4 Cu 3.69
K 0.0000 0.5000 0.4047 (multiplicity 2)  1 Cu 3.41, 4 Tl 3.69
Tl 0.0000 0.0000 0.6554 (multiplicity 2)  4 Cu 2.89
Cu 0.0000 0.5000 0.7499 (multiplicity 2)  4 Tl 2.89

Model 2:
K2TlCu: relaxed, PBE.

a = 5.2250 Å, b = 5.2250 Å, c = 9.6291 Å
α = 90.00°, β = 90.00°, γ = 90.00°
Closest atoms and distances in Å follow each position.
Space group I-4m2 (No. 119)
Symmetry-distinct sites (fractional):
K 0.0000 0.0000 0.0000 (multiplicity 2)  4 Tl 3.55, 4 K 3.55, 4 Cu 3.69
K 0.0000 0.5000 0.2500 (multiplicity 2)  4 K 3.55, 4 Cu 3.55, 4 Tl 3.69
Tl 0.0000 0.5000 0.7500 (multiplicity 2)  8 K 3.55-3.69, 4 Cu 3.55
Cu 0.0000 0.0000 0.5000 (multiplicity 2)  4 Tl 3.55, 8 K 3.55-3.69

Model 3:
K2TlCu: relaxed, PBE.

a = 8.0416 Å, b = 4.7849 Å, c = 9.2701 Å
α = 90.00°, β = 107.55°, γ = 90.00°
Closest atoms and distances in Å follow each position.
Space group Cm (No. 8)
Symmetry-distinct sites (fractional):
K 0.0000 0.0000 0.0000 (multiplicity 2)  3 Cu 3.55-3.65, 3 Tl 3.60-3.63
K 0.1871 0.0000 0.5404 (multiplicity 2)  3 Cu 3.56-3.66, 3 Tl 3.60-3.63
Tl 0.2586 0.5000 0.2704 (multiplicity 2)  3 Cu 2.72-2.73
Cu 0.4207 0.0000 0.2699 (multiplicity 2)  3 Tl 2.72-2.73

Which is the most stable structure? model 3 is the most stable.

Model 1:
K2TlCu: relaxed, PBE.

a = 12.1663 Å, b = 12.1663 Å, c = 5.1086 Å
α = 90.00°, β = 90.00°, γ = 90.00°
Closest atoms and distances in Å follow each position.
Space group I-42d (No. 122)
Symmetry-distinct sites (fractional):
K 0.0860 0.7500 0.1250 (multiplicity 8)  2 Cu 3.28
Tl 0.0000 0.0000 0.5000 (multiplicity 4)  2 Cu 2.55
Cu 0.0000 0.0000 0.0000 (multiplicity 4)  2 Tl 2.55

Model 2:
K2TlCu: relaxed, PBE.

a = 3.8702 Å, b = 3.8702 Å, c = 9.4918 Å
α = 90.00°, β = 90.00°, γ = 90.00°
Closest atoms and distances in Å follow each position.
Space group P4/mmm (No. 123)
Symmetry-distinct sites (fractional):
K 0.0000 0.0000 0.2151 (multiplicity 2)  4 Cu 3.41
Tl 0.5000 0.5000 0.5000 (multiplicity 1)  8 K 3.85, 4 Tl 3.87
Cu 0.5000 0.5000 0.0000 (multiplicity 1)  8 K 3.41

Which is the most stable structure? model 1 is the most stable.

Model 1:
KTlCu: relaxed, PBE.

a = 7.6086 Å, b = 7.6086 Å, c = 7.6086 Å
α = 90.00°, β = 90.00°, γ = 90.00°
Closest atoms and distances in Å follow each position.
Space group F-43m (No. 216)
Symmetry-distinct sites (fractional):
K 0.0000 0.0000 0.0000 (multiplicity 4)  4 Tl 3.29, 4 Cu 3.29
Tl 0.2500 0.2500 0.2500 (multiplicity 4)  4 K 3.29
Cu 0.2500 0.2500 0.7500 (multiplicity 4)  4 K 3.29

Model 2:
KTlCu: relaxed, PBE.

a = 3.7493 Å, b = 3.7604 Å, c = 12.3577 Å
α = 90.00°, β = 90.00°, γ = 90.00°
Closest atoms and distances in Å follow each position.
Space group Imm2 (No. 44)
Symmetry-distinct sites (fractional):
K 0.0000 0.0000 0.0000 (multiplicity 2)  5 Tl 3.49-3.78, 5 Cu 3.55-3.74, 4 K 3.75-3.76
Tl 0.0000 0.0000 0.2824 (multiplicity 2)  4 Cu 2.79
Cu 0.0000 0.0000 0.7129 (multiplicity 2)  4 Tl 2.79

Model 3:
KTlCu: relaxed, PBE.

a = 4.6786 Å, b = 4.6786 Å, c = 5.0729 Å
α = 90.00°, β = 90.00°, γ = 120.00°
Closest atoms and distances in Å follow each position.
Space group P3m1 (No. 156)
Symmetry-distinct sites (fractional):
K 0.0000 0.0000 0.0000 (multiplicity 1)  6 Cu 3.69-3.72, 6 Tl 3.71
Tl 0.6667 0.3333 0.5000 (multiplicity 1)  3 Cu 2.70
Cu 0.3333 0.6667 0.4969 (multiplicity 1)  3 Tl 2.70

Model 4:
KTlCu: relaxed, PBE.

a = 7.2521 Å, b = 7.2521 Å, c = 7.2521 Å
α = 90.00°, β = 90.00°, γ = 90.00°
Closest atoms and distances in Å follow each position.
Space group F-43m (No. 216)
Symmetry-distinct sites (fractional):
K 0.0000 0.0000 0.0000 (multiplicity 4)  4 Cu 3.14
Tl 0.0000 0.0000 0.5000 (multiplicity 4)  4 Cu 3.14
Cu 0.2500 0.2500 0.2500 (multiplicity 4)  4 Tl 3.14, 4 K 3.14

Which is the most stable structure? model 2 is the most stable.

Model 1:
K2TlCu2: relaxed, PBE.

a = 7.2200 Å, b = 7.2200 Å, c = 5.4304 Å
α = 90.00°, β = 90.00°, γ = 90.00°
Closest atoms and distances in Å follow each position.
Space group P4/mbm (No. 127)
Symmetry-distinct sites (fractional):
K 0.1787 0.3213 0.0000 (multiplicity 4)  6 Cu 3.40-3.49, 5 K 3.65-3.75, 4 Tl 3.80
Tl 0.0000 0.0000 0.5000 (multiplicity 2)  4 Cu 2.88
Cu 0.1203 0.6203 0.5000 (multiplicity 4)  1 Cu 2.46

Model 2:
K2TlCu2: relaxed, PBE.

a = 4.9646 Å, b = 4.9646 Å, c = 13.2870 Å
α = 90.00°, β = 90.00°, γ = 90.00°
Closest atoms and distances in Å follow each position.
Space group I4/mmm (No. 139)
Symmetry-distinct sites (fractional):
K 0.0000 0.5000 0.2500 (multiplicity 4)  4 Cu 3.29, 4 K 3.51
Tl 0.0000 0.0000 0.0000 (multiplicity 2)  8 Cu 3.70
Cu 0.0000 0.0000 0.4121 (multiplicity 4)  1 Cu 2.34

Which is the most stable structure? model 1 is the most stable.

Model 1:
KTlCu2: relaxed, PBE.

a = 7.6448 Å, b = 4.4119 Å, c = 6.7960 Å
α = 90.00°, β = 112.22°, γ = 90.00°
Closest atoms and distances in Å follow each position.
Space group Cm (No. 8)
Symmetry-distinct sites (fractional):
K 0.0000 0.0000 0.0000 (multiplicity 2)  7 Cu 3.58-3.77, 4 Tl 3.63-3.69
Tl 0.1923 0.0000 0.5768 (multiplicity 2)  6 Cu 2.77-2.78
Cu 0.2995 0.5000 0.4004 (multiplicity 2)  3 Cu 2.55, 3 Tl 2.78
Cu 0.4673 0.0000 0.4035 (multiplicity 2)  3 Cu 2.55, 3 Tl 2.77

Model 2:
KTlCu2: relaxed, PBE.

a = 5.0400 Å, b = 5.0400 Å, c = 18.4621 Å
α = 90.00°, β = 90.00°, γ = 90.00°
Closest atoms and distances in Å follow each position.
Space group I4_1/amd (No. 141, origin choice 2)
Symmetry-distinct sites (fractional):
K 0.0000 0.2500 0.3750 (multiplicity 4)  4 Tl 3.56, 8 Cu 3.64
Tl 0.0000 0.2500 0.8750 (multiplicity 4)  4 Cu 2.63
Cu 0.0000 0.0000 0.0000 (multiplicity 8)  2 Cu 2.52, 2 Tl 2.63

Model 3:
KTlCu2: relaxed, PBE.

a = 4.6277 Å, b = 4.6277 Å, c = 8.6330 Å
α = 90.00°, β = 90.00°, γ = 90.00°
Closest atoms and distances in Å follow each position.
Space group I-4m2 (No. 119)
Symmetry-distinct sites (fractional):
K 0.0000 0.0000 0.0000 (multiplicity 2)  4 Tl 3.16, 8 Cu 3.16-3.27
Tl 0.0000 0.5000 0.7500 (multiplicity 2)  4 K 3.16, 8 Cu 3.16-3.27
Cu 0.0000 0.0000 0.5000 (multiplicity 2)  4 Tl 3.16, 4 Cu 3.16, 4 K 3.27
Cu 0.0000 0.5000 0.2500 (multiplicity 2)  4 K 3.16, 4 Cu 3.16, 4 Tl 3.27

Model 4:
KTlCu2: relaxed, PBE.

a = 7.1246 Å, b = 7.1246 Å, c = 7.1246 Å
α = 90.00°, β = 90.00°, γ = 90.00°
Closest atoms and distances in Å follow each position.
Space group Fm-3m (No. 225)
Symmetry-distinct sites (fractional):
K 0.0000 0.0000 0.0000 (multiplicity 4)  8 Cu 3.09
Tl 0.0000 0.0000 0.5000 (multiplicity 4)  8 Cu 3.09
Cu 0.2500 0.2500 0.2500 (multiplicity 8)  4 Tl 3.09, 4 K 3.09

Which is the most stable structure? model 1 is the most stable.

Model 1:
KTlCu2: relaxed, PBE.

a = 7.9304 Å, b = 4.5846 Å, c = 6.6460 Å
α = 90.00°, β = 114.04°, γ = 90.00°
Closest atoms and distances in Å follow each position.
Space group C2/m (No. 12)
Symmetry-distinct sites (fractional):
K 0.0000 0.0000 0.0000 (multiplicity 2)  2 Cu 3.21
Tl 0.0000 0.5000 0.5000 (multiplicity 2)  6 Cu 2.65
Cu 0.1761 0.0000 0.5284 (multiplicity 4)  3 Tl 2.65, 3 Cu 2.66-2.67

Model 2:
KTlCu2: relaxed, PBE.

a = 3.3125 Å, b = 3.4537 Å, c = 8.0587 Å
α = 90.00°, β = 90.00°, γ = 90.00°
Closest atoms and distances in Å follow each position.
Space group Pmm2 (No. 25)
Symmetry-distinct sites (fractional):
K 0.0000 0.0000 0.0000 (multiplicity 1)  5 Cu 3.25-3.48, 4 K 3.31-3.45
Tl 0.5000 0.5000 0.3520 (multiplicity 1)  1 Cu 2.70
Cu 0.0000 0.0000 0.5973 (multiplicity 1)  4 Cu 2.50
Cu 0.5000 0.5000 0.6871 (multiplicity 1)  4 Cu 2.50, 1 Tl 2.70

Model 3:
KTlCu2: relaxed, PBE.

a = 4.0534 Å, b = 4.1352 Å, c = 6.6031 Å
α = 90.00°, β = 107.79°, γ = 90.00°
Closest atoms and distances in Å follow each position.
Space group Pm (No. 6)
Symmetry-distinct sites (fractional):
K 0.0000 0.0000 0.0000 (multiplicity 1)  7 Cu 3.34-3.59
Tl 0.7107 0.5000 0.4190 (multiplicity 1)  6 Cu 2.77-2.99
Cu 0.2714 0.0000 0.5306 (multiplicity 1)  2 Cu 2.39
Cu 0.3597 0.5000 0.7205 (multiplicity 1)  2 Cu 2.39

Which is the most stable structure? model 1 is the most stable.

Model 1:
KTlCu2: relaxed, PBE.

a = 3.6900 Å, b = 3.7447 Å, c = 7.2818 Å
α = 90.00°, β = 90.00°, γ = 90.00°
Closest atoms and distances in Å follow each position.
Space group Pmmm (No. 47)
Symmetry-distinct sites (fractional):
K 0.0000 0.0000 0.0000 (multiplicity 1)  8 Cu 3.57, 2 Tl 3.64, 4 K 3.69-3.74
Tl 0.0000 0.0000 0.5000 (multiplicity 1)  8 Cu 2.90
Cu 0.5000 0.5000 0.3311 (multiplicity 2)  1 Cu 2.46

Model 2:
KTlCu2: relaxed, PBE.

a = 6.9932 Å, b = 6.9787 Å, c = 3.8077 Å
α = 90.00°, β = 90.18°, γ = 90.00°
Closest atoms and distances in Å follow each position.
Space group C2/m (No. 12)
Symmetry-distinct sites (fractional):
K 0.0000 0.0000 0.0000 (multiplicity 2)  8 Cu 3.12
Tl 0.0000 0.5000 0.0000 (multiplicity 2)  8 Cu 3.12
Cu 0.2500 0.2500 0.5000 (multiplicity 4)  4 Tl 3.12, 4 K 3.12

Which is the most stable structure? model 1 is the most stable.

Model 1:
KTl3Cu: relaxed, PBE.

a = 6.2771 Å, b = 6.2771 Å, c = 6.2771 Å
α = 90.00°, β = 90.00°, γ = 90.00°
Closest atoms and distances in Å follow each position.
Space group Pm-3m (No. 221)
Symmetry-distinct sites (fractional):
K 0.0000 0.0000 0.0000 (multiplicity 1)  6 Tl 3.14
Tl 0.0000 0.0000 0.5000 (multiplicity 3)  2 K 3.14
Cu 0.5000 0.5000 0.5000 (multiplicity 1)  12 Tl 4.44

Model 2:
KTl3Cu: relaxed, PBE.

a = 5.3813 Å, b = 5.3813 Å, c = 5.3813 Å
α = 90.00°, β = 90.00°, γ = 90.00°
Closest atoms and distances in Å follow each position.
Space group Pm-3m (No. 221)
Symmetry-distinct sites (fractional):
K 0.0000 0.0000 0.0000 (multiplicity 1)  12 Tl 3.81
Tl 0.0000 0.5000 0.5000 (multiplicity 3)  2 Cu 2.69
Cu 0.5000 0.5000 0.5000 (multiplicity 1)  6 Tl 2.69

Which is the most stable structure? model 2 is the most stable.